Tm3Th5H12 | PBE | optimized geometry

a b c (Å): 13.279 13.279 13.279
angles (deg): 90.00 90.00 90.00
Space group Ia-3d (No. 230)
Unique sites:
1 Tm 0.000 0.250 0.125 [24 per cell]
2 Th 0.000 0.000 0.000 [16 per cell]
3 Th 0.000 0.250 0.375 [24 per cell]
4 H 0.005 0.073 0.157 [96 per cell]

The density of states at the Fermi level is 10.54 states/eV/f.u. Its total energy is -4.912 eV per atom.

Gd2HoZr | PBE | optimized geometry

a b c (Å): 7.792 7.792 7.792
angles (deg): 90.00 90.00 90.00
Space group Fm-3m (No. 225)
Unique sites:
1 Gd 0.250 0.250 0.250 [8 per cell]
2 Ho 0.000 0.000 0.000 [4 per cell]
3 Zr 0.000 0.000 0.500 [4 per cell]

The density of states at the Fermi level is 5.18 states/eV/f.u. The relative energy among the computed polymorphs comes out at 93 meV per atom.

Cs2CdHg | PBE | optimized geometry

a b c (Å): 10.397 10.397 8.191
angles (deg): 90.00 90.00 90.00
Space group I-42d (No. 122)
Unique sites:
1 Cs 0.241 0.250 0.125 [8 per cell]
2 Cd 0.000 0.000 0.500 [4 per cell]
3 Hg 0.000 0.000 0.000 [4 per cell]

The density of states at the Fermi level is 4.54 states/eV/f.u. The relative energy among the computed polymorphs comes out at 165 meV per atom.

Ti5Cu3 | PBE | optimized geometry

a b c (Å): 2.925 2.925 14.260
angles (deg): 90.00 90.00 90.00
Space group P4/mmm (No. 123)
Unique sites:
1 Ti 0.000 0.000 0.000 [1 per cell]
2 Ti 0.000 0.000 0.244 [2 per cell]
3 Ti 0.500 0.500 0.377 [2 per cell]
4 Cu 0.000 0.000 0.500 [1 per cell]
5 Cu 0.500 0.500 0.122 [2 per cell]

The density of states at the Fermi level is 7.92 states/eV/f.u. Its total energy is -6.564 eV per atom.

RbNaSb2Te | PBE | optimized geometry

a b c (Å): 6.173 6.173 6.354
angles (deg): 90.00 90.00 90.00
Space group P4/mmm (No. 123)
Unique sites:
1 Rb 0.000 0.000 0.000 [1 per cell]
2 Na 0.500 0.500 0.500 [1 per cell]
3 Sb 0.000 0.500 0.000 [2 per cell]
4 Te 0.000 0.000 0.500 [1 per cell]

The calculation puts the raw formation energy at 0.809 eV per atom. The density of states at the Fermi level is 6.57 states/eV/f.u. The relative energy among the computed polymorphs comes out at 636 meV per atom.

Na2DyCl5 | PBE | optimized geometry

a b c (Å): 12.104 8.269 7.763
angles (deg): 90.00 90.00 90.00
Space group Pnma (No. 62)
Unique sites:
1 Na 0.176 0.005 0.020 [8 per cell]
2 Dy 0.008 0.750 0.581 [4 per cell]
3 Cl 0.013 0.750 0.935 [4 per cell]
4 Cl 0.087 0.045 0.660 [8 per cell]
5 Cl 0.180 0.750 0.364 [4 per cell]
6 Cl 0.206 0.250 0.316 [4 per cell]

The calculation puts the raw formation energy at -2.030 eV per atom. The density of states at the Fermi level is 0.00 states/eV/f.u. The relative energy among the computed polymorphs comes out at 4 meV per atom.